Material: La3ScCo2O9
Method: DFT, PBE+U
State: optimized geometry

```
data_La3ScCo2O9
_space_group_name_H-M_alt 'P -3 m 1'
_space_group_IT_number 164
_space_group_name_Hall '-P 3 2"'
_cell_length_a 5.4842
_cell_length_b 5.4842
_cell_length_c 6.8050
_cell_angle_alpha 90.00
_cell_angle_beta 90.00
_cell_angle_gamma 120.00
loop_
_atom_site_label
_atom_site_type_symbol
_atom_site_fract_x
_atom_site_fract_y
_atom_site_fract_z
_atom_site_occupancy
La1 La 0.0000 0.0000 0.0000 1
La2 La 0.3333 0.6667 0.6933 1
Sc1 Sc 0.0000 0.0000 0.5000 1
Co1 Co 0.3333 0.6667 0.1661 1
O1 O 0.0000 0.5000 0.0000 1
O2 O 0.1716 0.3433 0.3210 1
```

Summary:
Total moment, μB per formula unit: 0.0
Raw total energy, eV per cell: -114.96